TmTl2W3O12: relaxed, PBE with a Hubbard U.

a = 7.634 Å, b = 7.634 Å, c = 7.634 Å
α = 58.79°, β = 58.79°, γ = 58.79°
Atoms (fractional coordinates):
Tm 0.000 0.000 0.000
Tl 0.338 0.338 0.338
Tl 0.662 0.662 0.662
W 0.000 0.000 0.500
W 0.000 0.500 0.000
W 0.500 0.000 0.000
O 0.064 0.700 0.700
O 0.076 0.076 0.649
O 0.076 0.649 0.076
O 0.300 0.300 0.936
O 0.300 0.936 0.300
O 0.351 0.924 0.924
O 0.649 0.076 0.076
O 0.700 0.064 0.700
O 0.700 0.700 0.064
O 0.924 0.351 0.924
O 0.924 0.924 0.351
O 0.936 0.300 0.300

- SG = R-3m (166)
- V (Å³ per atom) = 17.0
- total energy (eV per cell) = -125.614